Below is a geometry-optimized SrPuMn2O6 structure, with properties calculated at the PBE with a Hubbard U level.

Computed properties:
For the density of states at the Fermi level, the calculation gives 0.562 states/eV/atom. The value obtained for the total energy is -83.60 eV per formula unit.

Cell lengths 5.6394, 5.6394, 15.0842 Å; angles 90.00, 90.00, 120.00 degrees
Space group R3 (No. 146, hexagonal axes)
Symmetry-distinct sites (fractional):
Sr 0.0000 0.0000 0.0000
Pu 0.0000 0.0000 0.4765
Mn 0.0000 0.0000 0.2692
Mn 0.0000 0.0000 0.7856
O 0.0049 0.3448 0.5406
O 0.0273 0.6063 0.0516